Record 1
First-principles (meta-GGA SCAN) data for a crystal of CaTm2Te4 relaxed with PBEsol, as listed in Alexandria via LeMat-Bulk.

Unit cell a=4.289 b=7.342 c=7.599 alpha=107.83 beta=90.00 gamma=90.00
Element x y z (fractional)
Ca 0.000 0.500 0.500
Tm 0.000 0.000 0.000
Tm 0.500 0.500 0.000
Te 0.500 0.237 0.244
Te 0.000 0.748 0.238
Te 0.500 0.763 0.756
Te 0.000 0.252 0.762

Summary:
volume	32.5	A^3/atom
E_form (uncorrected)	-1.588	eV/atom
magnetic moment	0.0	μB per formula unit

Record 2
First-principles (meta-GGA SCAN) data for a crystal of V2OF5 relaxed with PBEsol, as listed in Alexandria via LeMat-Bulk.

Unit cell a=4.503 b=8.289 c=8.289 alpha=60.17 beta=90.25 gamma=89.75
Element x y z (fractional)
V 0.016 0.660 0.346
V 0.016 0.327 0.013
V 0.485 0.013 0.327
V 0.485 0.346 0.660
V 0.983 0.988 0.675
V 0.518 0.675 0.988
O 0.250 0.207 0.207
O 0.250 0.539 0.539
O 0.750 0.795 0.795
F 0.750 0.116 0.116
F 0.249 0.881 0.236
F 0.751 0.788 0.427
F 0.750 0.448 0.100
F 0.751 0.100 0.448
F 0.250 0.900 0.552
F 0.252 0.236 0.881
F 0.750 0.427 0.788
F 0.250 0.576 0.207
F 0.749 0.758 0.126
F 0.750 0.451 0.451
F 0.251 0.207 0.576
F 0.251 0.552 0.901
F 0.752 0.126 0.758
F 0.251 0.885 0.885

Summary:
volume	11.2	A^3/atom
E_form (uncorrected)	-3.084	eV/atom
energy above the lowest structure with this stoichiometry	0.0180	eV per atom
magnetic moment	3.0	μB per formula unit

Record 3
First-principles (meta-GGA SCAN) data for a crystal of Sc2IrRh relaxed with PBEsol, as listed in Alexandria via LeMat-Bulk.

Unit cell a=4.504 b=4.504 c=4.504 alpha=60.00 beta=60.00 gamma=60.00
Element x y z (fractional)
Sc 0.250 0.250 0.250
Sc 0.750 0.750 0.750
Ir 0.500 0.500 0.500
Rh 0.000 0.000 0.000

Summary:
energy relative to the elements	-1.23	eV per atom
volume	16.2	A^3/atom
energy above the lowest structure with this stoichiometry	0.0000	eV per atom
magnetic moment	0.0	μB per formula unit